(1)
The following is a PBE calculation of Zr2Zn3Ag3 after structural relaxation, from Alexandria.

Results
Total magnetization, μB per cell: 0.000
Volume, Å³ per cell: 313.54
ΔH_f (0 K), eV/f.u.: -0.3

a = 8.0836 Å, b = 8.0836 Å, c = 5.5406 Å
α = 90.00°, β = 90.00°, γ = 120.00°
Space group P6_3/mcm (No. 193)
Inequivalent atoms, fractional coordinates:
Zr1 0.3333 0.6667 0.0000
Zn1 0.0000 0.3444 0.2500
Ag1 0.0000 0.3118 0.7500

---

(2)
The following is a PBE calculation of ZrZn3Ag2 after structural relaxation, from Alexandria.

Results
Total magnetization, μB per cell: 0.000
Volume, Å³ per cell: 102.16
ΔH_f (0 K), eV/f.u.: -0.7

a = 3.094 Å, b = 3.094 Å, c = 10.673 Å
α = 90.00°, β = 90.00°, γ = 90.00°
Space group P4/mmm (No. 123)
Inequivalent atoms, fractional coordinates:
Zr1 0.000 0.000 0.000
Zn1 0.500 0.500 0.182
Zn2 0.500 0.500 0.500
Ag1 0.000 0.000 0.340

---

(3)
The following is a PBE calculation of Zr2ZnAg after structural relaxation, from Alexandria.

Results
Total magnetization, μB per cell: 0.000
Volume, Å³ per cell: 237.64
ΔH_f (0 K), eV/f.u.: 0.1

a = 3.0143 Å, b = 3.0143 Å, c = 30.2011 Å
α = 90.00°, β = 90.00°, γ = 120.00°
Space group R-3m (No. 166, hexagonal axes)
Inequivalent atoms, fractional coordinates:
Zr1 0.0000 0.0000 0.2479
Zn1 0.0000 0.0000 0.5000
Ag1 0.0000 0.0000 0.0000

---

(4)
The following is a PBE calculation of ZrAg2 after structural relaxation, from Alexandria.

Results
Total magnetization, μB per cell: 0.000
Volume, Å³ per cell: 57.32
ΔH_f (0 K), eV/f.u.: -0.2

a = 4.7993 Å, b = 4.7993 Å, c = 2.8737 Å
α = 90.00°, β = 90.00°, γ = 120.00°
Space group P6/mmm (No. 191)
Inequivalent atoms, fractional coordinates:
Zr1 0.0000 0.0000 0.0000
Ag1 0.3333 0.6667 0.5000